A plane-wave DFT calculation with PBE was carried out for an optimized crystal structure of LiSiPd2.

Calculated values
DFT total energy in eV per cell: -81.1

a = 6.0719 Å, b = 7.1855 Å, c = 5.4040 Å
α = 90.00°, β = 90.00°, γ = 90.00°
Last column: nearest neighbours and their distance in Å.
Space group Pnma (No. 62)
Inequivalent atoms, fractional coordinates:
Li1 0.0260 0.2500 0.0673  3 Si 2.57-2.84, 6 Pd 2.67-2.86
Si1 0.1159 0.2500 0.5513  6 Pd 2.39-2.47, 1 Li 2.57
Pd1 0.1707 0.5425 0.3261  3 Si 2.39-2.47